! CeYRu (PBE, optimized geometry); values from VASP
! M_tot in μB/cell: 0.00
! Polymorph energy (0 for the lowest one) in eV/atom: 0.192
! DOS at the Fermi energy in states/eV per atom: 1.16
! Crystal system: trigonal
&SYSTEM
  ibrav = 0, nat = 3, ntyp = 3
/
ATOMIC_SPECIES
Ce 140.12 Ce.upf
Y 88.91 Y.upf
Ru 101.07 Ru.upf
ATOMIC_POSITIONS crystal
Ce 0.0000 0.0000 0.0000
Y 0.3333 0.6667 0.5000
Ru 0.6667 0.3333 0.0011
CELL_PARAMETERS angstrom
4.3081 0.0000 0.0000
-2.1541 3.7309 0.0000
0.0000 0.0000 4.9013

---

! CeY2Ru3 (PBE, optimized geometry); values from VASP
! M_tot in μB/cell: 0.00
! Polymorph energy (0 for the lowest one) in eV/atom: 0.000
! DOS at the Fermi energy in states/eV per atom: 0.59
! Crystal system: monoclinic
&SYSTEM
  ibrav = 0, nat = 12, ntyp = 3
/
ATOMIC_SPECIES
Ce 140.12 Ce.upf
Y 88.91 Y.upf
Ru 101.07 Ru.upf
ATOMIC_POSITIONS crystal
Ce 0.1650 0.0000 0.3297
Ce 0.8350 0.0000 0.6703
Y 0.1657 0.5000 0.3313
Y 0.5000 0.0000 0.0000
Y 0.5000 0.5000 0.0000
Y 0.8343 0.5000 0.6687
Ru 0.0000 0.2394 0.0000
Ru 0.0000 0.7606 0.0000
Ru 0.3290 0.2349 0.6584
Ru 0.3290 0.7651 0.6584
Ru 0.6710 0.2349 0.3416
Ru 0.6710 0.7651 0.3416
CELL_PARAMETERS angstrom
4.8582 0.0000 0.0000
0.0000 6.8647 0.0000
-2.4219 0.0000 7.2242

---

! CeYZnRu (PBE, optimized geometry); values from VASP
! M_tot in μB/cell: 0.07
! DOS at the Fermi energy in states/eV per atom: 0.99
! Crystal system: cubic
&SYSTEM
  ibrav = 0, nat = 4, ntyp = 4
/
ATOMIC_SPECIES
Ce 140.12 Ce.upf
Y 88.91 Y.upf
Zn 65.41 Zn.upf
Ru 101.07 Ru.upf
ATOMIC_POSITIONS crystal
Ce 0.0000 0.0000 0.0000
Y 0.5000 0.5000 0.5000
Zn 0.2500 0.2500 0.2500
Ru 0.7500 0.7500 0.7500
CELL_PARAMETERS angstrom
0.0000 3.5079 3.5079
3.5079 0.0000 3.5079
3.5079 3.5079 0.0000

---

! Ce3Zn2Ru4 (PBE, optimized geometry); values from VASP
! M_tot in μB/cell: 0.00
! DOS at the Fermi energy in states/eV per atom: 0.82
! Crystal system: monoclinic
&SYSTEM
  ibrav = 0, nat = 9, ntyp = 3
/
ATOMIC_SPECIES
Ce 140.12 Ce.upf
Zn 65.41 Zn.upf
Ru 101.07 Ru.upf
ATOMIC_POSITIONS crystal
Ce 0.0000 0.0000 0.0000
Ce 0.3646 0.3646 0.6018
Ce 0.6354 0.6354 0.3982
Zn 0.3260 0.3260 0.2208
Zn 0.6740 0.6740 0.7792
Ru 0.1093 0.1093 0.6351
Ru 0.2414 0.2414 0.9238
Ru 0.7586 0.7586 0.0762
Ru 0.8907 0.8907 0.3649
CELL_PARAMETERS angstrom
4.6078 -2.2671 0.0000
4.6078 2.2671 0.0000
-0.4823 0.0000 8.8861

---

One value per record, in order, for formation enthalpy at 0 K: -0.09, -0.36, -0.29, -0.35 eV/atom.